An optimized crystal structure of AlOsRh2, computed with GGA-PBE.

Crystal system: tetragonal

Cell lengths 4.6737, 4.6737, 4.6737 Å; angles 131.32, 131.32, 71.31 degrees
With the nearest neighbours (Å) after each atom.
Positions (direct):
Os: 0.7500 0.2500 0.5000  8 Rh 2.70, 4 Al 2.72
Rh: 0.5000 0.5000 0.0000  4 Os 2.70, 4 Al 2.70, 4 Rh 2.72
Rh: 0.0000 0.0000 0.0000  4 Os 2.70, 4 Al 2.70, 4 Rh 2.72
Al: 0.2500 0.7500 0.5000  8 Rh 2.70, 4 Os 2.72



An optimized crystal structure of Al8OsRh2, computed with GGA-PBE.

Crystal system: orthorhombic

Cell lengths 4.0662, 7.3176, 6.9600 Å; angles 121.72, 106.98, 90.00 degrees
With the nearest neighbours (Å) after each atom.
Positions (direct):
Al: 0.6593 0.8803 0.3187  3 Rh 2.61-2.63, 1 Os 2.70, 7 Al 2.71-2.89
Al: 0.3407 0.1197 0.6813  3 Rh 2.61-2.63, 1 Os 2.70, 7 Al 2.71-2.89
Al: 0.6593 0.4383 0.3187  3 Rh 2.61-2.63, 1 Os 2.70, 7 Al 2.71-2.89
Al: 0.0000 0.6902 0.0000  2 Rh 2.57, 7 Al 2.71-2.78
Al: 0.3407 0.5617 0.6813  3 Rh 2.61-2.63, 1 Os 2.70, 7 Al 2.71-2.89
Al: 0.0000 0.3098 0.0000  2 Rh 2.57, 7 Al 2.71-2.78
Al: 0.8572 0.8572 0.7144  2 Os 2.58, 2 Rh 2.72, 8 Al 2.73-2.89
Al: 0.1428 0.1428 0.2856  2 Os 2.58, 2 Rh 2.72, 8 Al 2.73-2.89
Rh: 0.1947 0.6947 0.3895  10 Al 2.57-2.72
Rh: 0.8053 0.3053 0.6105  10 Al 2.57-2.72
Os: 0.5000 0.0000 0.0000  8 Al 2.58-2.70



An optimized crystal structure of AlOsRh2, computed with GGA-PBE.

Crystal system: orthorhombic

Cell lengths 5.2471, 5.2471, 5.2471 Å; angles 148.79, 130.11, 60.03 degrees
With the nearest neighbours (Å) after each atom.
Positions (direct):
Os: 0.2699 0.7699 0.5000  2 Al 2.53, 6 Rh 2.66-2.76, 2 Os 2.82
Rh: 0.0084 0.0084 0.0000  4 Al 2.63, 2 Os 2.76, 4 Rh 2.82-2.94
Rh: 0.7212 0.2212 0.5000  2 Al 2.45, 4 Os 2.66
Al: 0.5005 0.5005 0.0000  6 Rh 2.45-2.63, 2 Os 2.53



An optimized crystal structure of Al2OsRh, computed with GGA-PBE.

Crystal system: trigonal

Cell lengths 8.2607, 8.2607, 8.2607 Å; angles 19.87, 19.87, 19.87 degrees
With the nearest neighbours (Å) after each atom.
Positions (direct):
Al: 0.4984 0.4984 0.4984  3 Rh 2.58, 3 Os 2.64, 6 Al 2.85
Al: 0.0016 0.0016 0.0016  3 Rh 2.58, 3 Os 2.64, 6 Al 2.85
Rh: 0.7500 0.7500 0.7500  6 Al 2.58, 6 Rh 2.85
Os: 0.2500 0.2500 0.2500  6 Al 2.64, 6 Os 2.85



| no. | formation enthalpy at 0 K (kJ/mol of atoms) | density of states at the Fermi level (states/eV per atom) |
| --- | --- | --- |
| 1 | -29.8 | 1.092 |
| 2 | -54.4 | 0.313 |
| 3 | -21.8 | 1.158 |
| 4 | -43.8 | 0.629 |